(1)
This record from Alexandria describes crystalline BeCr3I at its relaxed geometry. The functional is GGA-PBE.

abc: 4.487 4.487 4.487
angles: 90.00 90.00 90.00
Fractional positions:
Be 0.000 0.000 0.000
Cr 0.000 0.000 0.500
Cr 0.000 0.500 0.000
Cr 0.500 0.000 0.000
I 0.500 0.500 0.500

## Properties
- Energy relative to the elements, uncorrected: 5.035 eV/f.u.

***

(2)
This record from Alexandria describes crystalline BeCrI3 at its relaxed geometry. The functional is GGA-PBE.

abc: 5.321 5.321 5.321
angles: 90.00 90.00 90.00
Fractional positions:
Be 0.000 0.000 0.000
Cr 0.500 0.500 0.500
I 0.000 0.000 0.500
I 0.000 0.500 0.000
I 0.500 0.000 0.000

## Properties
- Energy relative to the elements, uncorrected: 1.940 eV/f.u.

***

(3)
This record from Alexandria describes crystalline BeCr2I at its relaxed geometry. The functional is GGA-PBE.

abc: 8.917 8.917 8.917
angles: 155.49 155.49 34.93
Fractional positions:
Be 0.000 0.000 0.000
Be 0.750 0.250 0.500
Cr 0.042 0.625 0.917
Cr 0.375 0.292 0.417
Cr 0.708 0.125 0.083
Cr 0.875 0.958 0.583
I 0.250 0.750 0.500
I 0.500 0.500 0.000

## Properties
- Energy relative to the elements, uncorrected: 3.970 eV/f.u.

***

(4)
This record from Alexandria describes crystalline BeCr2I at its relaxed geometry. The functional is GGA-PBE.

abc: 4.255 4.255 4.255
angles: 60.00 60.00 60.00
Fractional positions:
Be 0.000 0.000 0.000
Cr 0.250 0.250 0.250
Cr 0.750 0.750 0.750
I 0.500 0.500 0.500

## Properties
- Energy relative to the elements, uncorrected: 3.923 eV/f.u.